KRb2Pb | GGA-PBE | relaxed

ΔE_f ... -0.073 eV per atom

```
KRb2Pb
1.0
16.614 0.000 0.000
0.000 5.747 0.000
-0.707 0.000 10.526
K Rb Pb
4 8 4
direct
0.000 0.000 0.000
0.186 0.000 0.314
0.500 0.500 0.000
0.686 0.500 0.314
0.090 0.500 0.711
0.276 0.000 0.940
0.350 0.500 0.566
0.461 0.000 0.290
0.590 0.000 0.711
0.776 0.500 0.940
0.850 0.000 0.566
0.961 0.500 0.290
0.142 0.500 0.078
0.311 0.500 0.194
0.642 0.000 0.078
0.811 0.000 0.194
```